First-principles (GGA-PBE) data for crystalline Tb2ScAg3Se6 at its relaxed geometry, as listed in Alexandria via LeMat-Bulk.

```
Tb2ScAg3Se6
1.0
-0.799 -3.092 2.652
6.138 -5.229 -4.247
4.774 5.370 4.450
Se Ag Tb Sc
6 3 2 1
Cartesian
1.720 -0.782 2.856
4.307 -3.152 0.872
5.806 0.201 1.984
5.068 -4.097 -3.249
8.392 -2.169 0.000
5.044 1.146 6.105
6.091 -2.648 -1.252
2.669 -4.160 -0.797
4.021 -0.303 4.107
3.329 -0.393 0.545
6.784 -2.559 2.310
-0.400 -1.546 1.326
```

* E: -4.882 eV per atom
* formation energy (no corrections): -13.53 eV/f.u.


First-principles (GGA-PBE) data for crystalline Sc2TcAgSe at its relaxed geometry, as listed in Alexandria via LeMat-Bulk.

```
Sc2TcAgSe
1.0
4.992 0.000 0.000
0.000 4.511 0.000
0.000 0.000 4.992
Sc Tc Ag Se
2 1 1 1
Cartesian
0.000 0.000 2.496
2.496 0.000 0.000
0.000 2.256 0.000
2.496 2.256 2.496
0.000 0.000 0.000
```

* E: -5.822 eV per atom
* D(E_F): 1.52 states/eV/cell
* formation energy (no corrections): 0.26 eV/f.u.


First-principles (GGA-PBE) data for crystalline ScAgTeSe at its relaxed geometry, as listed in Alexandria via LeMat-Bulk.

```
ScAgTeSe
1.0
-0.654 -2.607 -3.626
0.164 -1.854 4.112
-6.397 0.767 0.601
Ag Te Se Sc
1 1 1 1
Cartesian
-6.470 -1.626 -0.474
-0.709 -2.033 1.589
-3.861 -1.939 -0.720
-4.332 -1.598 1.930
```

* E: -4.798 eV per atom
* formation energy (no corrections): -3.38 eV/f.u.


First-principles (GGA-PBE) data for crystalline Sc3TiAg3Se8 at its relaxed geometry, as listed in Alexandria via LeMat-Bulk.

```
Sc3TiAg3Se8
1.0
-6.482 3.146 2.766
-0.300 -4.724 -6.096
1.573 -3.182 7.305
Se Ti Sc Ag
8 1 3 3
Cartesian
-3.821 -2.296 4.425
-0.681 -6.227 -0.107
-4.048 -4.593 1.330
-4.683 -0.987 0.915
-4.528 1.467 4.081
-0.526 -3.773 3.059
-1.161 -0.167 2.644
-1.388 -2.464 -0.450
0.786 -1.591 3.652
-2.455 -0.018 5.035
0.637 -3.953 0.604
-2.604 -2.380 1.987
-0.150 -2.362 -3.048
-3.391 -0.789 -1.665
0.000 0.000 0.000
```

* E: -5.260 eV per atom
* formation energy (no corrections): -15.59 eV/f.u.


| no. | density (g/cm3) |
| --- | --- |
| 1 | 6.40 |
| 2 | 5.53 |
| 3 | 5.23 |
| 4 | 5.41 |